Entry 1:
The following is a PBE calculation of an optimized crystal structure of Mo2RhAu, from Alexandria via LeMat-Bulk.

The structure in POSCAR format:
```
Mo2RhAu
1.0
-1.051 -1.332 4.697
0.460 -4.902 0.833
2.919 3.481 -2.074
Mo Au Rh
2 1 1
direct
0.500 0.500 0.000
0.000 0.000 0.000
0.750 0.250 0.500
0.250 0.750 0.500
```

Its total magnetization is 0.00 μB per atom. The value obtained for the energy of formation is 9 kJ per mole of atoms. The total energy is -7.979 eV per atom.

=====

Entry 2:
The following is a PBE calculation of an optimized crystal structure of Ho4ErS6, from Alexandria via LeMat-Bulk.

The structure in POSCAR format:
```
Ho4ErS6
1.0
-0.784 0.858 3.616
2.433 -6.210 0.006
18.239 7.149 2.261
Ho S Er
8 12 2
direct
0.591 0.183 0.628
0.409 0.817 0.372
0.139 0.278 0.040
0.139 0.278 0.460
0.409 0.817 0.128
0.591 0.183 0.872
0.861 0.722 0.540
0.861 0.722 0.960
0.051 0.103 0.168
0.949 0.897 0.668
0.230 0.460 0.589
0.770 0.540 0.411
0.500 0.000 0.500
0.051 0.103 0.332
0.695 0.390 0.750
0.305 0.610 0.250
0.500 0.000 0.000
0.770 0.540 0.089
0.230 0.460 0.911
0.949 0.897 0.832
0.349 0.698 0.750
0.651 0.302 0.250
```

Its total magnetization is 0.00 μB per atom. The energy relative to the elements, uncorrected comes out at -2.023 eV per atom. The total energy is -6.354 eV per atom.